The following is a DFT calculation (PBE-GGA) of a geometry-optimized Mg2ZrMn structure.

Results
**Total DFT energy (no corrections)**: -20.11 eV/cell
**Energy of formation from the pure elements**: 0.20 eV per atom

Cell lengths 3.059, 3.059, 8.474 Å; angles 90.00, 90.00, 90.00 degrees
Atoms (fractional coordinates):
Mg (0.000, 0.000, 0.223)
Mg (0.000, 0.000, 0.777)
Zr (0.500, 0.500, 0.500)
Mn (0.500, 0.500, 0.000)